NaCaPrBr6 (PBE, relaxed); SG = P-31c (163); ΔE_f (raw) = -1.8534 eV/atom; size of the total moment = 0.00 μB/cell
1.0
7.4684 0.0000 0.0000
-3.7342 6.4678 0.0000
0.0000 0.0000 13.3048
Br Pr Ca Na
12 2 2 2
Cartesian
2.4383 4.2047 1.6997 Br
-1.1263 6.4585 8.3521 Br
6.1564 2.2539 1.6997 Br
4.8605 0.0093 4.9527 Br
1.2959 2.2632 11.6052 Br
2.4222 4.2140 8.3521 Br
2.6079 0.0093 1.6997 Br
1.1263 6.4585 11.6052 Br
5.0301 4.2047 4.9527 Br
1.3120 2.2539 4.9527 Br
-1.2959 2.2632 8.3521 Br
-2.4222 4.2140 11.6052 Br
0.0000 4.3119 3.3262 Pr
3.7342 2.1559 9.9786 Pr
0.0000 4.3119 9.9786 Ca
3.7342 2.1559 3.3262 Ca
0.0000 0.0000 6.6524 Na
0.0000 0.0000 0.0000 Na